DFT (meta-GGA SCAN) results for Zr2Os at its PBEsol-relaxed geometry.

DOS(E_F): 2.03 states/eV/f.u.
Electronic total energy: -269.536 eV/cell
Total magnetic moment: 0.00 Bohr magnetons per cell
Formation energy from the elements: -1.5 eV per formula unit
Space-group type: Cmcm (63)
Calculated density: 11155 kg/m3

Cell: 7.335 7.335 4.742 Å, 90.00 90.00 154.22°
Sites, in units of the cell vectors:
Zr (0.077, 0.923, 0.750)
Zr (0.236, 0.764, 0.250)
Zr (0.764, 0.236, 0.750)
Zr (0.923, 0.077, 0.250)
Os (0.420, 0.580, 0.750)
Os (0.580, 0.420, 0.250)


DFT (meta-GGA SCAN) results for Zr3Os at its PBEsol-relaxed geometry.

DOS(E_F): 5.13 states/eV/f.u.
Electronic total energy: -164.838 eV/cell
Total magnetic moment: 0.00 Bohr magnetons per cell
Formation energy from the elements: -0.9 eV per formula unit
Space-group type: Fm-3m (225)
Calculated density: 10283 kg/m3

Cell: 4.732 4.732 4.732 Å, 60.00 60.00 60.00°
Sites, in units of the cell vectors:
Zr (0.000, 0.000, 0.000)
Zr (0.250, 0.250, 0.250)
Zr (0.750, 0.750, 0.750)
Os (0.500, 0.500, 0.500)


DFT (meta-GGA SCAN) results for P at its PBEsol-relaxed geometry.

DOS(E_F): 0.16 states/eV/f.u.
Electronic total energy: -20.570 eV/cell
ΔE to the lowest computed polymorph: 113 meV per atom
Total magnetic moment: 0.00 Bohr magnetons per cell
Formation energy from the elements: 0.1 eV per formula unit
Space-group type: R-3m (166)
Calculated density: 3405 kg/m3

Cell: 3.550 3.550 3.550 Å, 58.04 58.04 58.04°
Sites, in units of the cell vectors:
P (0.233, 0.233, 0.233)
P (0.767, 0.767, 0.767)


DFT (meta-GGA SCAN) results for P at its PBEsol-relaxed geometry.

DOS(E_F): 0.16 states/eV/f.u.
Electronic total energy: -20.537 eV/cell
ΔE to the lowest computed polymorph: 130 meV per atom
Total magnetic moment: 0.00 Bohr magnetons per cell
Formation energy from the elements: 0.1 eV per formula unit
Space-group type: Imma (74)
Calculated density: 3413 kg/m3

Cell: 3.497 3.497 3.497 Å, 121.84 89.78 118.44°
Sites, in units of the cell vectors:
P (0.290, 0.040, 0.250)
P (0.710, 0.960, 0.750)


DFT (meta-GGA SCAN) results for P at its PBEsol-relaxed geometry.

DOS(E_F): 0.02 states/eV/f.u.
Electronic total energy: -41.437 eV/cell
ΔE to the lowest computed polymorph: 39 meV per atom
Total magnetic moment: 0.00 Bohr magnetons per cell
Formation energy from the elements: 0.0 eV per formula unit
Space-group type: Cmce (64)
Calculated density: 2881 kg/m3

Cell: 5.394 5.394 4.196 Å, 90.00 90.00 144.20°
Sites, in units of the cell vectors:
P (0.105, 0.895, 0.927)
P (0.395, 0.605, 0.427)
P (0.605, 0.395, 0.573)
P (0.895, 0.105, 0.073)


DFT (meta-GGA SCAN) results for P at its PBEsol-relaxed geometry.

Electronic total energy: -436.405 eV/cell
ΔE to the lowest computed polymorph: 8 meV per atom
Total magnetic moment: 0.00 Bohr magnetons per cell
Formation energy from the elements: 0.0 eV per formula unit
Space-group type: P-1 (2)
Calculated density: 2468 kg/m3

Cell: 6.966 11.560 11.868 Å, 71.71 74.73 84.72°
Sites, in units of the cell vectors:
P (0.012, 0.082, 0.059)
P (0.030, 0.723, 0.220)
P (0.038, 0.868, 0.669)
P (0.050, 0.232, 0.131)
P (0.108, 0.159, 0.667)
P (0.139, 0.955, 0.326)
P (0.162, 0.584, 0.353)
P (0.194, 0.508, 0.853)
P (0.213, 0.666, 0.915)
P (0.249, 0.027, 0.802)
P (0.278, 0.002, 0.125)
P (0.279, 0.473, 0.227)
P (0.292, 0.830, 0.082)
P (0.295, 0.602, 0.655)
P (0.337, 0.931, 0.663)
P (0.375, 0.447, 0.574)
P (0.414, 0.691, 0.343)
P (0.416, 0.328, 0.355)
P (0.443, 0.257, 0.854)
P (0.461, 0.419, 0.912)
P (0.475, 0.775, 0.777)
P (0.525, 0.225, 0.223)
P (0.539, 0.581, 0.088)
P (0.557, 0.743, 0.146)
P (0.584, 0.672, 0.645)
P (0.586, 0.309, 0.657)
P (0.625, 0.553, 0.426)
P (0.663, 0.069, 0.337)
P (0.705, 0.398, 0.345)
P (0.708, 0.170, 0.918)
P (0.721, 0.527, 0.773)
P (0.722, 0.998, 0.875)
P (0.751, 0.973, 0.198)
P (0.787, 0.334, 0.085)
P (0.806, 0.492, 0.147)
P (0.838, 0.416, 0.647)
P (0.861, 0.045, 0.674)
P (0.892, 0.841, 0.333)
P (0.950, 0.768, 0.869)
P (0.962, 0.132, 0.331)
P (0.970, 0.277, 0.780)
P (0.988, 0.918, 0.941)


DFT (meta-GGA SCAN) results for P at its PBEsol-relaxed geometry.

Electronic total energy: -103.134 eV/cell
ΔE to the lowest computed polymorph: 85 meV per atom
Total magnetic moment: 0.00 Bohr magnetons per cell
Formation energy from the elements: 0.1 eV per formula unit
Space-group type: Pm (6)
Calculated density: 2072 kg/m3

Cell: 5.437 7.618 6.145 Å, 90.00 102.79 90.00°
Sites, in units of the cell vectors:
P (0.000, 0.000, 0.000)
P (0.115, 0.149, 0.551)
P (0.115, 0.851, 0.551)
P (0.517, 0.227, 0.580)
P (0.517, 0.773, 0.580)
P (0.535, 0.147, 0.237)
P (0.535, 0.853, 0.237)
P (0.600, 0.000, 0.807)
P (0.923, 0.225, 0.210)
P (0.923, 0.775, 0.210)


DFT (meta-GGA SCAN) results for P at its PBEsol-relaxed geometry.

DOS(E_F): 0.41 states/eV/f.u.
Electronic total energy: -20.173 eV/cell
ΔE to the lowest computed polymorph: 312 meV per atom
Total magnetic moment: 0.00 Bohr magnetons per cell
Formation energy from the elements: 0.3 eV per formula unit
Space-group type: I4/mmm (139)
Calculated density: 3370 kg/m3

Cell: 5.377 5.377 5.377 Å, 153.68 153.68 37.57°
Sites, in units of the cell vectors:
P (0.111, 0.111, 0.000)
P (0.889, 0.889, 0.000)


DFT (meta-GGA SCAN) results for P at its PBEsol-relaxed geometry.

DOS(E_F): 0.65 states/eV/f.u.
Electronic total energy: -19.362 eV/cell
ΔE to the lowest computed polymorph: 718 meV per atom
Total magnetic moment: 0.00 Bohr magnetons per cell
Formation energy from the elements: 0.7 eV per formula unit
Space-group type: Fd-3m (227)
Calculated density: 2659 kg/m3

Cell: 3.796 3.796 3.796 Å, 60.00 60.00 60.00°
Sites, in units of the cell vectors:
P (0.125, 0.125, 0.125)
P (0.875, 0.875, 0.875)


DFT (meta-GGA SCAN) results for P at its PBEsol-relaxed geometry.

Electronic total energy: -873.488 eV/cell
ΔE to the lowest computed polymorph: 0 meV per atom
Total magnetic moment: 0.00 Bohr magnetons per cell
Formation energy from the elements: 0.0 eV per formula unit
Space-group type: P2/c (13)
Calculated density: 2430 kg/m3

Cell: 9.160 9.095 22.199 Å, 90.00 105.98 90.00°
Sites, in units of the cell vectors:
P (0.001, 0.156, 0.458)
P (0.001, 0.844, 0.958)
P (0.042, 0.388, 0.070)
P (0.042, 0.612, 0.570)
P (0.051, 0.056, 0.680)
P (0.051, 0.944, 0.180)
P (0.054, 0.321, 0.300)
P (0.054, 0.679, 0.800)
P (0.072, 0.223, 0.886)
P (0.072, 0.777, 0.386)
P (0.141, 0.097, 0.326)
P (0.141, 0.903, 0.826)
P (0.148, 0.387, 0.172)
P (0.148, 0.613, 0.672)
P (0.175, 0.028, 0.115)
P (0.175, 0.972, 0.615)
P (0.201, 0.329, 0.828)
P (0.201, 0.671, 0.328)
P (0.212, 0.136, 0.428)
P (0.212, 0.864, 0.928)
P (0.249, 0.095, 0.958)
P (0.249, 0.905, 0.458)
P (0.252, 0.397, 0.041)
P (0.252, 0.603, 0.541)
P (0.303, 0.196, 0.181)
P (0.303, 0.804, 0.681)
P (0.308, 0.495, 0.899)
P (0.308, 0.505, 0.399)
P (0.309, 0.371, 0.562)
P (0.309, 0.629, 0.062)
P (0.401, 0.184, 0.833)
P (0.401, 0.816, 0.333)
P (0.422, 0.364, 0.666)
P (0.422, 0.636, 0.166)
P (0.427, 0.269, 0.114)
P (0.427, 0.731, 0.614)
P (0.428, 0.439, 0.330)
P (0.428, 0.561, 0.830)
P (0.463, 0.135, 0.935)
P (0.463, 0.865, 0.435)
P (0.484, 0.363, 0.970)
P (0.484, 0.637, 0.470)
P (0.516, 0.363, 0.530)
P (0.516, 0.637, 0.030)
P (0.537, 0.135, 0.565)
P (0.537, 0.865, 0.065)
P (0.572, 0.439, 0.170)
P (0.572, 0.561, 0.670)
P (0.573, 0.269, 0.386)
P (0.573, 0.731, 0.886)
P (0.578, 0.364, 0.834)
P (0.578, 0.636, 0.334)
P (0.599, 0.184, 0.667)
P (0.599, 0.816, 0.167)
P (0.691, 0.371, 0.938)
P (0.691, 0.629, 0.438)
P (0.692, 0.495, 0.601)
P (0.692, 0.505, 0.101)
P (0.697, 0.196, 0.319)
P (0.697, 0.804, 0.819)
P (0.748, 0.397, 0.459)
P (0.748, 0.603, 0.959)
P (0.751, 0.095, 0.542)
P (0.751, 0.905, 0.042)
P (0.788, 0.136, 0.072)
P (0.788, 0.864, 0.572)
P (0.799, 0.329, 0.672)
P (0.799, 0.671, 0.172)
P (0.825, 0.028, 0.385)
P (0.825, 0.972, 0.885)
P (0.852, 0.387, 0.328)
P (0.852, 0.613, 0.828)
P (0.859, 0.097, 0.174)
P (0.859, 0.903, 0.674)
P (0.928, 0.223, 0.614)
P (0.928, 0.777, 0.114)
P (0.946, 0.321, 0.200)
P (0.946, 0.679, 0.700)
P (0.949, 0.056, 0.820)
P (0.949, 0.944, 0.320)
P (0.958, 0.388, 0.430)
P (0.958, 0.612, 0.930)
P (0.999, 0.156, 0.042)
P (0.999, 0.844, 0.542)


DFT (meta-GGA SCAN) results for Pa3P4 at its PBEsol-relaxed geometry.

DOS(E_F): 7.72 states/eV/f.u.
Electronic total energy: -698.188 eV/cell
Total magnetic moment: 0.00 Bohr magnetons per cell
Formation energy from the elements: -8.5 eV per formula unit
Space-group type: I-43d (220)
Calculated density: 9907 kg/m3

Cell: 7.086 7.086 7.086 Å, 109.47 109.47 109.47°
Sites, in units of the cell vectors:
Pa (0.125, 0.875, 0.250)
Pa (0.250, 0.125, 0.875)
Pa (0.375, 0.625, 0.750)
Pa (0.625, 0.750, 0.375)
Pa (0.750, 0.375, 0.625)
Pa (0.875, 0.250, 0.125)
P (0.000, 0.160, 0.500)
P (0.000, 0.660, 0.500)
P (0.160, 0.500, 0.000)
P (0.340, 0.340, 0.340)
P (0.500, 0.000, 0.160)
P (0.500, 0.000, 0.660)
P (0.660, 0.500, 0.000)
P (0.840, 0.840, 0.840)


DFT (meta-GGA SCAN) results for P2Pb at its PBEsol-relaxed geometry.

DOS(E_F): 0.50 states/eV/f.u.
Electronic total energy: -193.028 eV/cell
ΔE to the lowest computed polymorph: 0 meV per atom
Total magnetic moment: 0.00 Bohr magnetons per cell
Formation energy from the elements: 0.1 eV per formula unit
Space-group type: C2/m (12)
Calculated density: 6789 kg/m3

Cell: 7.950 7.950 5.161 Å, 92.29 92.29 23.83°
Sites, in units of the cell vectors:
P (0.009, 0.009, 0.218)
P (0.395, 0.395, 0.760)
P (0.605, 0.605, 0.240)
P (0.991, 0.991, 0.782)
Pb (0.316, 0.316, 0.253)
Pb (0.684, 0.684, 0.747)